[1]
Entry from Alexandria via LeMat-Bulk: an optimized crystal structure of YCdIn3 (GGA-PBE).

a b c (Å): 5.4002 5.4002 5.4002
angles (deg): 90.00 90.00 90.00
Space group Pm-3m (No. 221)
Asymmetric unit:
Y: 0.0000 0.0000 0.0000 (multiplicity 1)
Cd: 0.5000 0.5000 0.5000 (multiplicity 1)
In: 0.0000 0.5000 0.5000 (multiplicity 3)

Output
The value obtained for the energy relative to the elements is 156 kJ/mol of formula units. Its crystal system is cubic. As for the calculated density: 5.75 Mg/m³.

=====

[2]
Entry from Alexandria via LeMat-Bulk: an optimized crystal structure of YCdIn4 (GGA-PBE).

a b c (Å): 8.6173 8.6173 8.6173
angles (deg): 90.00 90.00 90.00
Space group F-43m (No. 216)
Asymmetric unit:
Y: 0.0000 0.0000 0.0000 (multiplicity 4)
Cd: 0.2500 0.2500 0.7500 (multiplicity 4)
In: 0.1248 0.1248 0.3752 (multiplicity 16)

Output
The value obtained for the energy relative to the elements is -21 kJ/mol of formula units. Its crystal system is cubic. As for the calculated density: 6.86 Mg/m³.

=====

[3]
Entry from Alexandria via LeMat-Bulk: an optimized crystal structure of YCd4In (GGA-PBE).

a b c (Å): 8.3882 8.3882 8.3882
angles (deg): 90.00 90.00 90.00
Space group F-43m (No. 216)
Asymmetric unit:
Y: 0.0000 0.0000 0.0000 (multiplicity 4)
Cd: 0.1254 0.1254 0.6254 (multiplicity 16)
In: 0.2500 0.2500 0.2500 (multiplicity 4)

Output
The value obtained for the energy relative to the elements is -61 kJ/mol of formula units. Its crystal system is cubic. As for the calculated density: 7.35 Mg/m³.

=====

[4]
Entry from Alexandria via LeMat-Bulk: an optimized crystal structure of Y2Cd3In2 (GGA-PBE).

a b c (Å): 11.2187 4.6841 7.2118
angles (deg): 90.00 111.95 90.00
Space group C2/m (No. 12)
Asymmetric unit:
Y: 0.1492 0.0000 0.2663 (multiplicity 4)
Cd: 0.0000 0.5000 0.5000 (multiplicity 2)
Cd: 0.0989 0.5000 0.9300 (multiplicity 4)
In: 0.1521 0.0000 0.7260 (multiplicity 4)

Output
The value obtained for the energy relative to the elements is -207 kJ/mol of formula units. Its crystal system is monoclinic. As for the calculated density: 7.04 Mg/m³.